# 1
## RbTi2TlMo (PBE)

Data for crystalline RbTi2TlMo at its relaxed geometry.

a b c (Å): 4.6962 4.6962 4.7866
angles (deg): 90.00 90.00 90.00
Last column: nearest neighbours and their distance in Å.
Atoms (fractional coordinates):
Rb  0.0000  0.0000  0.0000  4 Ti 2.35, 2 Mo 2.39
Ti  0.0000  0.5000  0.0000  2 Rb 2.35
Ti  0.5000  0.0000  0.0000  2 Rb 2.35
Tl  0.5000  0.5000  0.5000  4 Mo 3.32, 8 Ti 3.35
Mo  0.0000  0.0000  0.5000  2 Rb 2.39

- VASP energy (eV per cell) = -18.6
- V (Å³ per atom) = 21.1
- energy of formation from the pure elements (eV/atom) = 2.26

# 2
## Nb6SnS8 (PBE)

Data for crystalline Nb6SnS8 at its relaxed geometry.

a b c (Å): 9.6348 9.6348 3.4099
angles (deg): 90.00 90.00 120.00
Last column: nearest neighbours and their distance in Å.
Atoms (fractional coordinates):
Nb  0.1128  0.4871  0.2510  6 S 2.48-2.67
Nb  0.3743  0.8872  0.2510  6 S 2.48-2.67
Nb  0.4871  0.3743  0.7490  6 S 2.48-2.67
Nb  0.5129  0.6257  0.2510  6 S 2.48-2.67
Nb  0.6257  0.1128  0.7490  6 S 2.48-2.67
Nb  0.8872  0.5129  0.7490  6 S 2.48-2.67
Sn  0.0000  0.0000  0.5000  6 S 3.16, 2 Sn 3.41
S  0.0547  0.7149  0.2485  4 Nb 2.48-2.67
S  0.2851  0.3398  0.2485  4 Nb 2.48-2.67
S  0.3333  0.6667  0.7503  6 Nb 2.59-2.60
S  0.3398  0.0547  0.7515  4 Nb 2.48-2.67
S  0.6602  0.9453  0.2485  4 Nb 2.48-2.67
S  0.6667  0.3333  0.2497  6 Nb 2.59-2.60
S  0.7149  0.6602  0.7515  4 Nb 2.48-2.67
S  0.9453  0.2851  0.7515  4 Nb 2.48-2.67

- VASP energy (eV per cell) = -112.2
- energy relative to the elements, uncorrected (kJ per mole of atoms) = -94.9
- polymorph energy (0 for the lowest one) (meV per atom) = 0.0
- V (Å³ per atom) = 18.3

# 3
## Tl2SeCl (PBE)

Data for crystalline Tl2SeCl at its relaxed geometry.

a b c (Å): 8.0269 8.0269 8.0269
angles (deg): 31.54 31.54 31.54
Last column: nearest neighbours and their distance in Å.
Atoms (fractional coordinates):
Tl  0.0000  0.0000  0.0000  3 Se 3.13, 3 Cl 3.29
Tl  0.1801  0.1801  0.1801  3 Se 3.01, 3 Cl 3.22
Se  0.5851  0.5851  0.5851  6 Tl 3.01-3.13
Cl  0.7590  0.7590  0.7590  6 Tl 3.22-3.29

- VASP energy (eV per cell) = -12.1
- energy relative to the elements, uncorrected (kJ per mole of atoms) = -49.3
- polymorph energy (0 for the lowest one) (meV per atom) = 70.9
- V (Å³ per atom) = 31.4